Entry 1:
La2AlFeMo | meta-GGA SCAN | single point on PBEsol structure

Summary:
The value obtained for the calculated formation energy is 1.03 eV/atom. As for the total magnetization: 0.194 μB/atom. The total energy is -28.364 eV/atom.

a b c (Å): 4.609 5.593 5.593
angles (deg): 90.00 90.00 90.00
Last column: magnetic moment on the atom in μB.
Atoms (fractional coordinates):
Al 0.000 0.000 0.000  -0.01
Mo 0.500 0.000 0.000  1.50
Fe 0.500 0.500 0.500  -3.17
La 0.000 0.500 0.000  0.10
La 0.000 0.000 0.500  0.10


Entry 2:
La6Al4Fe9P | meta-GGA SCAN | single point on PBEsol structure

Summary:
The value obtained for the calculated formation energy is -0.31 eV/atom. As for the total magnetization: 0.874 μB/atom. The total energy is -23.473 eV/atom.

a b c (Å): 8.003 8.003 12.651
angles (deg): 108.44 108.44 90.00
Last column: magnetic moment on the atom in μB.
Atoms (fractional coordinates):
Fe 0.878 0.730 0.108  -2.28
Fe 0.932 0.211 0.000  -2.38
Fe 0.122 0.270 0.892  -2.28
Fe 0.068 0.789 0.000  -2.38
Fe 0.270 0.770 0.892  -2.28
Fe 0.432 0.289 0.000  -2.38
Fe 0.711 0.432 0.000  -2.38
Fe 0.568 0.711 0.000  -2.38
Fe 0.500 0.000 0.000  -1.85
Fe 0.622 0.122 0.892  -2.28
Fe 0.770 0.622 0.892  -2.28
Fe 0.378 0.878 0.108  -2.28
Fe 0.000 0.500 0.000  -1.85
Fe 0.211 0.068 0.000  -2.38
Fe 0.789 0.932 0.000  -2.38
Fe 0.730 0.230 0.108  -2.28
Fe 0.230 0.378 0.108  -2.28
Fe 0.289 0.568 0.000  -2.38
La 0.633 0.483 0.616  0.14
La 0.867 0.367 0.384  0.14
La 0.983 0.133 0.616  0.14
La 0.517 0.017 0.384  0.14
La 0.367 0.517 0.384  0.14
La 0.483 0.983 0.616  0.14
La 0.608 0.608 0.217  0.27
La 0.108 0.108 0.217  0.27
La 0.133 0.633 0.616  0.14
La 0.892 0.892 0.783  0.27
La 0.392 0.392 0.783  0.27
La 0.017 0.867 0.384  0.14
Al 0.213 0.713 0.188  0.06
Al 0.025 0.525 0.812  0.06
Al 0.287 0.025 0.812  0.06
Al 0.525 0.787 0.812  0.06
Al 0.787 0.287 0.812  0.06
Al 0.975 0.475 0.188  0.06
Al 0.475 0.213 0.188  0.06
Al 0.713 0.975 0.188  0.06
P 0.250 0.250 0.500  -0.01
P 0.750 0.750 0.500  -0.01


Entry 3:
La3AlFeS7 | meta-GGA SCAN | single point on PBEsol structure

Summary:
The calculation puts the formation energy (no corrections) at -1943.1 meV per atom. As for the total magnetization: 0.000 μB/atom. The total energy is -20.493 eV/atom.

a b c (Å): 5.995 10.226 10.226
angles (deg): 120.00 90.00 90.00
Atoms (fractional coordinates):
La 0.244 0.233 0.858
La 0.744 0.767 0.142
La 0.244 0.624 0.767
La 0.744 0.858 0.624
La 0.244 0.142 0.376
La 0.744 0.376 0.233
Al 0.663 0.333 0.667
Al 0.163 0.667 0.333
S 0.533 0.667 0.333
S 0.519 0.419 0.519
S 0.785 0.143 0.911
S 0.285 0.911 0.768
S 0.019 0.900 0.419
S 0.519 0.100 0.581
S 0.019 0.581 0.481
S 0.019 0.519 0.100
S 0.285 0.232 0.143
S 0.033 0.333 0.667
S 0.785 0.089 0.232
S 0.785 0.768 0.857
S 0.285 0.857 0.089
S 0.519 0.481 0.900
Fe 0.021 0.000 0.000
Fe 0.521 0.000 0.000


Entry 4:
LiAl2Fe | meta-GGA SCAN | single point on PBEsol structure

Summary:
The value obtained for the calculated formation energy is 0.01 eV/atom. As for the total magnetization: 0.560 μB/atom. The total energy is -8.992 eV/atom.

a b c (Å): 3.105 3.105 5.522
angles (deg): 90.00 90.00 90.00
Last column: magnetic moment on the atom in μB.
Atoms (fractional coordinates):
Al 0.500 0.500 0.290  -0.04
Al 0.000 0.000 0.984  -0.02
Fe 0.000 0.000 0.489  2.40
Li 0.500 0.500 0.737  -0.02


Entry 5:
Li3AlFe | meta-GGA SCAN | single point on PBEsol structure

Summary:
The value obtained for the calculated formation energy is 0.73 eV/atom. As for the total magnetization: 0.552 μB/atom. The total energy is -5.885 eV/atom.

a b c (Å): 4.561 4.561 4.561
angles (deg): 90.00 90.00 90.00
Last column: magnetic moment on the atom in μB.
Atoms (fractional coordinates):
Fe 0.000 0.000 0.000  2.69
Li 0.000 0.500 0.000  -0.01
Li 0.000 0.000 0.500  -0.01
Li 0.500 0.000 0.000  -0.01
Al 0.500 0.500 0.500  -0.01


Entry 6:
Li2AlFe | meta-GGA SCAN | single point on PBEsol structure

Summary:
The value obtained for the calculated formation energy is 0.15 eV/atom. As for the total magnetization: 0.665 μB/atom. The total energy is -7.515 eV/atom.

a b c (Å): 2.637 2.637 9.345
angles (deg): 81.89 81.89 60.00
Last column: magnetic moment on the atom in μB.
Atoms (fractional coordinates):
Li 0.254 0.254 0.239  -0.03
Li 0.746 0.746 0.761  -0.03
Al 0.500 0.500 0.500  -0.01
Fe 0.000 0.000 0.000  2.96


Entry 7:
LiAlFe2 | meta-GGA SCAN | single point on PBEsol structure

Summary:
The value obtained for the calculated formation energy is -0.03 eV/atom. As for the total magnetization: 1.191 μB/atom. The total energy is -11.627 eV/atom.

a b c (Å): 2.526 4.517 4.517
angles (deg): 112.86 90.00 90.00
Last column: magnetic moment on the atom in μB.
Atoms (fractional coordinates):
Fe 0.000 0.500 0.000  2.56
Fe 0.000 0.000 0.500  2.56
Li 0.500 0.000 0.000  -0.05
Al 0.500 0.500 0.500  -0.07


Entry 8:
LiAl2Fe2 | meta-GGA SCAN | single point on PBEsol structure

Summary:
The value obtained for the calculated formation energy is -0.21 eV/atom. As for the total magnetization: 0.812 μB/atom. The total energy is -11.041 eV/atom.

a b c (Å): 2.591 7.219 7.219
angles (deg): 90.00 90.00 90.00
Last column: magnetic moment on the atom in μB.
Atoms (fractional coordinates):
Fe 0.000 0.114 0.386  2.19
Fe 0.000 0.614 0.114  2.19
Fe 0.000 0.386 0.886  2.19
Fe 0.000 0.886 0.614  2.19
Al 0.500 0.320 0.180  -0.07
Al 0.500 0.680 0.820  -0.07
Al 0.500 0.820 0.320  -0.07
Al 0.500 0.180 0.680  -0.07
Li 0.000 0.000 0.000  -0.01
Li 0.000 0.500 0.500  -0.01


Entry 9:
LiAl2Fe | meta-GGA SCAN | single point on PBEsol structure

Summary:
The value obtained for the calculated formation energy is -0.20 eV/atom. As for the total magnetization: 0.485 μB/atom. The total energy is -9.208 eV/atom.

a b c (Å): 2.875 4.134 4.134
angles (deg): 90.00 90.00 90.00
Last column: magnetic moment on the atom in μB.
Atoms (fractional coordinates):
Al 0.000 0.500 0.625  -0.04
Al 0.000 0.000 0.125  -0.04
Fe 0.500 0.000 0.625  2.08
Li 0.500 0.500 0.125  0.02


Entry 10:
LiAl2FeO6 | meta-GGA SCAN | single point on PBEsol structure

Summary:
The calculation puts the formation energy (no corrections) at -2406.5 meV per atom. As for the total magnetization: 0.302 μB/atom. The total energy is -9.748 eV/atom.

a b c (Å): 4.824 4.850 5.289
angles (deg): 79.57 68.65 60.18
Last column: magnetic moment on the atom in μB.
Atoms (fractional coordinates):
Al 0.331 0.337 0.000  0.01
Al 0.669 0.663 0.000  0.01
Li 0.500 0.000 0.500  0.00
O 0.594 0.322 0.198  0.04
O 0.748 0.000 0.804  0.08
O 0.917 0.678 0.198  0.04
O 0.252 0.000 0.196  0.08
O 0.083 0.322 0.802  0.04
O 0.406 0.678 0.802  0.04
Fe 0.000 0.000 0.000  2.57


Entry 11:
Lu2Al3Fe | meta-GGA SCAN | single point on PBEsol structure

Summary:
The value obtained for the calculated formation energy is -0.47 eV/atom. As for the total magnetization: 0.421 μB/atom. The total energy is -25.816 eV/atom.

a b c (Å): 5.256 5.256 5.256
angles (deg): 61.47 61.47 61.47
Last column: magnetic moment on the atom in μB.
Atoms (fractional coordinates):
Lu 0.373 0.373 0.373  -0.02
Lu 0.627 0.627 0.627  -0.02
Al 0.500 0.000 0.000  -0.02
Al 0.000 0.000 0.500  -0.02
Al 0.000 0.500 0.000  -0.02
Fe 0.000 0.000 0.000  2.65


Entry 12:
LuAl8Fe4 | meta-GGA SCAN | single point on PBEsol structure

Summary:
The value obtained for the calculated formation energy is -0.46 eV/atom. As for the total magnetization: 0.504 μB/atom. The total energy is -15.070 eV/atom.

a b c (Å): 4.958 6.541 6.541
angles (deg): 81.74 67.73 67.73
Last column: magnetic moment on the atom in μB.
Atoms (fractional coordinates):
Al 0.661 0.339 0.339  -0.03
Al 0.339 0.661 0.661  -0.03
Al 0.000 0.661 0.339  -0.03
Al 0.719 0.781 0.781  -0.03
Al 0.500 0.219 0.781  -0.03
Al 0.500 0.781 0.219  -0.03
Al 0.000 0.339 0.661  -0.03
Al 0.281 0.219 0.219  -0.03
Fe 0.500 0.500 0.000  1.84
Fe 0.000 0.500 0.000  1.84
Fe 0.000 0.000 0.500  1.84
Fe 0.500 0.000 0.500  1.84
Lu 0.000 0.000 0.000  -0.20


Entry 13:
MgAl2Fe | meta-GGA SCAN | single point on PBEsol structure

Summary:
The value obtained for the calculated formation energy is 0.36 eV/atom. As for the total magnetization: 0.633 μB/atom. The total energy is -9.296 eV/atom.

a b c (Å): 3.898 3.898 9.430
angles (deg): 101.93 101.93 90.00
Last column: magnetic moment on the atom in μB.
Atoms (fractional coordinates):
Mg 0.500 0.500 0.000  -0.02
Mg 0.750 0.250 0.500  -0.02
Al 0.625 0.657 0.750  -0.02
Al 0.907 0.375 0.250  -0.02
Al 0.343 0.875 0.250  -0.02
Al 0.125 0.093 0.750  -0.02
Fe 0.250 0.750 0.500  2.70
Fe 0.000 0.000 0.000  2.70


Entry 14:
MgAl2Fe | meta-GGA SCAN | single point on PBEsol structure

Summary:
The value obtained for the calculated formation energy is -0.05 eV/atom. As for the total magnetization: 0.489 μB/atom. The total energy is -9.706 eV/atom.

a b c (Å): 3.810 3.810 4.857
angles (deg): 113.09 113.09 90.00
Last column: magnetic moment on the atom in μB.
Atoms (fractional coordinates):
Mg 0.250 0.750 0.500  -0.03
Fe 0.500 0.500 0.000  2.23
Al 0.000 0.000 0.000  -0.01
Al 0.750 0.250 0.500  -0.05


Entry 15:
MgAl2Fe | meta-GGA SCAN | single point on PBEsol structure

Summary:
The value obtained for the calculated formation energy is -0.01 eV/atom. As for the total magnetization: 0.389 μB/atom. The total energy is -9.664 eV/atom.

a b c (Å): 2.874 2.874 8.790
angles (deg): 80.59 80.59 60.00
Last column: magnetic moment on the atom in μB.
Atoms (fractional coordinates):
Mg 0.000 0.000 0.000  0.00
Al 0.763 0.763 0.711  -0.02
Al 0.237 0.237 0.289  -0.02
Fe 0.500 0.500 0.500  1.72


Entry 16:
MgAlFe2 | meta-GGA SCAN | single point on PBEsol structure

Summary:
The value obtained for the calculated formation energy is 0.00 eV/atom. As for the total magnetization: 1.144 μB/atom. The total energy is -12.247 eV/atom.

a b c (Å): 2.675 4.536 4.536
angles (deg): 107.36 90.00 90.00
Last column: magnetic moment on the atom in μB.
Atoms (fractional coordinates):
Al 0.500 0.000 0.000  -0.07
Fe 0.000 0.500 0.000  2.44
Fe 0.000 0.000 0.500  2.44
Mg 0.500 0.500 0.500  -0.05


Entry 17:
MgAl2Fe | meta-GGA SCAN | single point on PBEsol structure

Summary:
The value obtained for the calculated formation energy is -0.03 eV/atom. As for the total magnetization: 0.540 μB/atom. The total energy is -9.681 eV/atom.

a b c (Å): 3.870 3.901 3.901
angles (deg): 90.00 90.00 90.00
Last column: magnetic moment on the atom in μB.
Atoms (fractional coordinates):
Fe 0.500 0.500 0.500  2.26
Mg 0.500 0.000 0.000  -0.01
Al 0.000 0.500 0.000  -0.02
Al 0.000 0.000 0.500  -0.02


Entry 18:
MgAlFe2 | meta-GGA SCAN | single point on PBEsol structure

Summary:
The value obtained for the calculated formation energy is 0.01 eV/atom. As for the total magnetization: 1.159 μB/atom. The total energy is -12.238 eV/atom.

a b c (Å): 4.185 4.185 4.185
angles (deg): 60.00 60.00 60.00
Last column: magnetic moment on the atom in μB.
Atoms (fractional coordinates):
Fe 0.000 0.000 0.000  2.55
Fe 0.750 0.750 0.750  2.40
Mg 0.250 0.250 0.250  -0.03
Al 0.500 0.500 0.500  -0.07


Entry 19:
MgAlFe2 | meta-GGA SCAN | single point on PBEsol structure

Summary:
The value obtained for the calculated formation energy is 0.09 eV/atom. As for the total magnetization: 1.159 μB/atom. The total energy is -12.157 eV/atom.

a b c (Å): 2.874 4.197 4.197
angles (deg): 90.00 90.00 90.00
Last column: magnetic moment on the atom in μB.
Atoms (fractional coordinates):
Mg 0.500 0.500 0.500  -0.04
Fe 0.000 0.500 0.000  2.42
Fe 0.000 0.000 0.500  2.42
Al 0.500 0.000 0.000  -0.07


Entry 20:
MgAlFe2Mo | meta-GGA SCAN | single point on PBEsol structure

Summary:
The value obtained for the calculated formation energy is 1.10 eV/atom. As for the total magnetization: 0.824 μB/atom. The total energy is -15.669 eV/atom.

a b c (Å): 4.401 4.401 4.800
angles (deg): 90.00 90.00 90.00
Last column: magnetic moment on the atom in μB.
Atoms (fractional coordinates):
Al 0.000 0.000 0.500  0.00
Fe 0.500 0.000 0.000  2.28
Fe 0.000 0.500 0.000  2.28
Mg 0.500 0.500 0.500  -0.03
Mo 0.000 0.000 0.000  -0.49